(1)
## Tb7InSn5 (PBE)

Data for Tb7InSn5 after structural relaxation.

Cell lengths 8.3518, 8.3518, 8.3518 Å; angles 136.14, 94.56, 101.50 degrees
Last column: nearest neighbours and their distance in Å.
Element x y z (fractional)
Tb (0.0000, 0.0000, 0.0000)  1 In 3.34, 4 Sn 3.49, 2 Tb 3.53
Tb (0.2759, 0.6098, 0.6661)  5 Sn 3.15-3.23, 1 Tb 3.39
Tb (0.3789, 0.3789, 0.0000)  6 Sn 3.13-3.34, 1 In 3.22
Tb (0.4308, 0.0938, 0.3370)  5 Sn 3.16-3.29, 1 Tb 3.22
Tb (0.7567, 0.0938, 0.6630)  5 Sn 3.16-3.29, 1 Tb 3.22
Tb (0.8435, 0.3435, 0.5000)  4 Sn 3.14, 4 Tb 3.22-3.39
Tb (0.9437, 0.6098, 0.3339)  5 Sn 3.15-3.23, 1 Tb 3.39
In (0.6836, 0.6836, 0.0000)  4 Tb 3.22-3.55
Sn (0.0952, 0.1043, 0.4901)  3 Sn 3.11-3.33, 6 Tb 3.14-3.34
Sn (0.0952, 0.6051, 0.9909)  3 Sn 3.11-3.33, 6 Tb 3.14-3.34
Sn (0.3493, 0.8493, 0.5000)  6 Tb 3.13-3.18, 4 Sn 3.33
Sn (0.6142, 0.1043, 0.0091)  3 Sn 3.11-3.33, 6 Tb 3.14-3.34
Sn (0.6142, 0.6051, 0.5099)  3 Sn 3.11-3.33, 6 Tb 3.14-3.34

Calculated values
The density of states at the Fermi level is 12.7 states/eV/f.u. Its symmetry is No. 44. As for the formation energy: -458 meV/atom. The density comes out at 8.094 Mg/m³. The value obtained for the total energy is -4.702 eV/atom.

=====

(2)
## TbInSn4 (PBE)

Data for TbInSn4 after structural relaxation.

Cell lengths 6.1885, 6.1885, 6.1885 Å; angles 60.00, 60.00, 60.00 degrees
Last column: nearest neighbours and their distance in Å.
Element x y z (fractional)
Tb (0.0000, 0.0000, 0.0000)  12 Sn 3.63, 4 In 3.79
In (0.7500, 0.7500, 0.7500)  12 Sn 3.63, 4 Tb 3.79
Sn (0.3748, 0.3748, 0.3748)  6 Sn 3.09-3.10
Sn (0.3748, 0.3748, 0.8755)  6 Sn 3.09-3.10
Sn (0.3748, 0.8755, 0.3748)  6 Sn 3.09-3.10
Sn (0.8755, 0.3748, 0.3748)  6 Sn 3.09-3.10

Calculated values
The density of states at the Fermi level is 3.8 states/eV/f.u. Its symmetry is No. 216. As for the formation energy: -131 meV/atom. The density comes out at 7.417 Mg/m³. The value obtained for the total energy is -4.028 eV/atom.

=====

(3)
## TbInSn (PBE)

Data for TbInSn after structural relaxation.

Cell lengths 5.2076, 5.2076, 6.3653 Å; angles 90.00, 90.00, 109.93 degrees
Last column: nearest neighbours and their distance in Å.
Element x y z (fractional)
Tb (0.1757, 0.8243, 0.7500)  5 In 3.09-3.21, 2 Sn 3.19
Tb (0.8243, 0.1757, 0.2500)  5 In 3.09-3.21, 2 Sn 3.19
In (0.1866, 0.8134, 0.2500)  5 Tb 3.09-3.21, 2 Sn 3.11
In (0.8134, 0.1866, 0.7500)  5 Tb 3.09-3.21, 2 Sn 3.11
Sn (0.5000, 0.5000, 0.0000)  2 In 3.11, 2 Sn 3.18, 2 Tb 3.19
Sn (0.5000, 0.5000, 0.5000)  2 In 3.11, 2 Sn 3.18, 2 Tb 3.19

Calculated values
The density of states at the Fermi level is 1.7 states/eV/f.u. Its symmetry is No. 63. As for the formation energy: -341 meV/atom. The density comes out at 8.032 Mg/m³. The value obtained for the total energy is -4.131 eV/atom. As for the offset from the most stable computed form: 0.0502 eV/atom.

=====

(4)
## Tb2InSn (PBE)

Data for Tb2InSn after structural relaxation.

Cell lengths 3.9503, 3.9503, 6.9152 Å; angles 90.00, 90.00, 90.00 degrees
Last column: nearest neighbours and their distance in Å.
Element x y z (fractional)
Tb (0.0000, 0.0000, 0.2458)  4 Sn 3.27, 4 In 3.30, 2 Tb 3.40-3.52
Tb (0.0000, 0.0000, 0.7542)  4 Sn 3.27, 4 In 3.30, 2 Tb 3.40-3.52
In (0.5000, 0.5000, 0.5000)  8 Tb 3.30, 2 Sn 3.46
Sn (0.5000, 0.5000, 0.0000)  8 Tb 3.27, 2 In 3.46

Calculated values
The density of states at the Fermi level is 3.8 states/eV/f.u. Its symmetry is No. 123. As for the formation energy: -529 meV/atom. The density comes out at 8.485 Mg/m³. The value obtained for the total energy is -4.530 eV/atom.

=====

(5)
## Tb4In2Sn (PBE)

Data for Tb4In2Sn after structural relaxation.

Cell lengths 9.1561, 9.1561, 9.1561 Å; angles 33.44, 33.44, 33.44 degrees
Last column: nearest neighbours and their distance in Å.
Element x y z (fractional)
Tb (0.1208, 0.1208, 0.1208)  4 In 3.23-3.46, 3 Sn 3.27
Tb (0.3736, 0.3736, 0.3736)  4 In 3.09-3.20, 1 Sn 3.28
Tb (0.6264, 0.6264, 0.6264)  4 In 3.09-3.20, 1 Sn 3.28
Tb (0.8792, 0.8792, 0.8792)  4 In 3.23-3.46, 3 Sn 3.27
In (0.2543, 0.2543, 0.2543)  7 Tb 3.09-3.23
In (0.7457, 0.7457, 0.7457)  7 Tb 3.09-3.23
Sn (0.5000, 0.5000, 0.5000)  8 Tb 3.27-3.28

Calculated values
The density of states at the Fermi level is 6.3 states/eV/f.u. Its symmetry is No. 166. As for the formation energy: -359 meV/atom. The density comes out at 7.873 Mg/m³. The value obtained for the total energy is -4.359 eV/atom.

=====

(6)
## TbIn3Sn2 (PBE)

Data for TbIn3Sn2 after structural relaxation.

Cell lengths 7.9494, 7.9494, 4.5112 Å; angles 90.00, 90.00, 146.35 degrees
Last column: nearest neighbours and their distance in Å.
Element x y z (fractional)
Tb (0.0000, 0.0000, 0.0000)  8 In 3.22-3.43, 4 Sn 3.30
In (0.1698, 0.8302, 0.5000)  6 Sn 3.23-3.49, 4 In 3.35-3.46, 2 Tb 3.43
In (0.5000, 0.5000, 0.5000)  4 Tb 3.22, 4 Sn 3.27, 4 In 3.46
In (0.8302, 0.1698, 0.5000)  6 Sn 3.23-3.49, 4 In 3.35-3.46, 2 Tb 3.43
Sn (0.3444, 0.6556, 0.0000)  8 In 3.23-3.49, 2 Tb 3.30
Sn (0.6556, 0.3444, 0.0000)  8 In 3.23-3.49, 2 Tb 3.30

Calculated values
The density of states at the Fermi level is 3.7 states/eV/f.u. Its symmetry is No. 65. As for the formation energy: -193 meV/atom. The density comes out at 7.788 Mg/m³. The value obtained for the total energy is -3.669 eV/atom.

=====

(7)
## Tb6In2Sn (PBE)

Data for Tb6In2Sn after structural relaxation.

Cell lengths 8.9951, 8.9951, 8.9951 Å; angles 146.46, 131.86, 59.94 degrees
Last column: nearest neighbours and their distance in Å.
Element x y z (fractional)
Tb (0.0815, 0.3324, 0.7491)  3 In 3.17-3.18, 1 Sn 3.20
Tb (0.2480, 0.0000, 0.2480)  2 In 3.17, 2 Sn 3.19
Tb (0.4166, 0.6676, 0.7491)  3 In 3.17-3.18, 1 Sn 3.20
Tb (0.5834, 0.3324, 0.2509)  3 In 3.17-3.18, 1 Sn 3.20
Tb (0.7520, 0.0000, 0.7520)  2 In 3.17, 2 Sn 3.19
Tb (0.9185, 0.6676, 0.2509)  3 In 3.17-3.18, 1 Sn 3.20
In (0.1663, 0.1663, 0.0000)  8 Tb 3.17-3.18
In (0.8337, 0.8337, 0.0000)  8 Tb 3.17-3.18
Sn (0.5000, 0.5000, 0.0000)  8 Tb 3.19-3.20

Calculated values
The density of states at the Fermi level is 11.5 states/eV/f.u. Its symmetry is No. 71. As for the formation energy: -203 meV/atom. The density comes out at 7.286 Mg/m³. The value obtained for the total energy is -4.343 eV/atom.

=====

(8)
## TbIn6Sn (PBE)

Data for TbIn6Sn after structural relaxation.

Cell lengths 6.8274, 6.8274, 4.4938 Å; angles 90.00, 90.00, 90.00 degrees
Last column: nearest neighbours and their distance in Å.
Element x y z (fractional)
Tb (0.0000, 0.0000, 0.0000)  12 In 3.31-3.41
In (0.0000, 0.5000, 0.0000)  8 In 3.30, 2 Sn 3.41, 2 Tb 3.41
In (0.2518, 0.2518, 0.5000)  2 Sn 3.29, 8 In 3.30-3.44, 2 Tb 3.31
In (0.2518, 0.7482, 0.5000)  2 Sn 3.29, 8 In 3.30-3.44, 2 Tb 3.31
In (0.5000, 0.0000, 0.0000)  8 In 3.30, 2 Sn 3.41, 2 Tb 3.41
In (0.7482, 0.2518, 0.5000)  2 Sn 3.29, 8 In 3.30-3.44, 2 Tb 3.31
In (0.7482, 0.7482, 0.5000)  2 Sn 3.29, 8 In 3.30-3.44, 2 Tb 3.31
Sn (0.5000, 0.5000, 0.0000)  12 In 3.29-3.41

Calculated values
The density of states at the Fermi level is 5.1 states/eV/f.u. Its symmetry is No. 123. As for the formation energy: -141 meV/atom. The density comes out at 7.662 Mg/m³. The value obtained for the total energy is -3.274 eV/atom.